A plane-wave DFT calculation with GGA-PBE was carried out for an optimized crystal structure of Cu2RuAu.

Calculated values
calculated total energy	-4.903	eV per atom
ΔH_f (0 K)	0.283	eV/atom
polymorph energy (0 for the lowest one)	0.084	eV per atom

Geometry as CIF:
```
data_Cu2RuAu
_symmetry_space_group_name_H-M 'I m m 2'
_symmetry_Int_Tables_number 44
_cell_length_a 2.6744
_cell_length_b 4.5789
_cell_length_c 9.2427
_cell_angle_alpha 90.00
_cell_angle_beta 90.00
_cell_angle_gamma 90.00
loop_
_symmetry_equiv_pos_as_xyz
'x,y,z'
'-x,-y,z'
'-x,y,z'
'x,-y,z'
'x+1/2,y+1/2,z+1/2'
'-x+1/2,-y+1/2,z+1/2'
'-x+1/2,y+1/2,z+1/2'
'x+1/2,-y+1/2,z+1/2'
loop_
_atom_site_label
_atom_site_type_symbol
_atom_site_fract_x
_atom_site_fract_y
_atom_site_fract_z
_atom_site_occupancy
Cu1 Cu 0.0000 0.0000 0.0000 1
Cu2 Cu 0.0000 0.5000 0.2703 1
Ru1 Ru 0.0000 0.0000 0.5231 1
Au1 Au 0.0000 0.5000 0.7533 1
```


A plane-wave DFT calculation with GGA-PBE was carried out for an optimized crystal structure of CuRu2Au.

Calculated values
calculated total energy	-6.153	eV per atom
ΔH_f (0 K)	0.328	eV/atom
polymorph energy (0 for the lowest one)	0.165	eV per atom

Geometry as CIF:
```
data_CuRu2Au
_symmetry_space_group_name_H-M 'I -4 m 2'
_symmetry_Int_Tables_number 119
_symmetry_space_group_name_Hall 'I -4 -2'
_cell_length_a 3.8770
_cell_length_b 3.8770
_cell_length_c 7.6965
_cell_angle_alpha 90.00
_cell_angle_beta 90.00
_cell_angle_gamma 90.00
loop_
_atom_site_label
_atom_site_type_symbol
_atom_site_fract_x
_atom_site_fract_y
_atom_site_fract_z
_atom_site_occupancy
Cu1 Cu 0.0000 0.0000 0.0000 1
Ru1 Ru 0.0000 0.0000 0.5000 1
Ru2 Ru 0.0000 0.5000 0.7500 1
Au1 Au 0.0000 0.5000 0.2500 1
```


A plane-wave DFT calculation with GGA-PBE was carried out for an optimized crystal structure of CuRuAu2.

Calculated values
calculated total energy	-4.679	eV per atom
ΔH_f (0 K)	0.303	eV/atom
polymorph energy (0 for the lowest one)	0.071	eV per atom

Geometry as CIF:
```
data_CuRuAu2
_symmetry_space_group_name_H-M 'I m m 2'
_symmetry_Int_Tables_number 44
_cell_length_a 2.7293
_cell_length_b 4.8145
_cell_length_c 9.6197
_cell_angle_alpha 90.00
_cell_angle_beta 90.00
_cell_angle_gamma 90.00
loop_
_symmetry_equiv_pos_as_xyz
'x,y,z'
'-x,-y,z'
'-x,y,z'
'x,-y,z'
'x+1/2,y+1/2,z+1/2'
'-x+1/2,-y+1/2,z+1/2'
'-x+1/2,y+1/2,z+1/2'
'x+1/2,-y+1/2,z+1/2'
loop_
_atom_site_label
_atom_site_type_symbol
_atom_site_fract_x
_atom_site_fract_y
_atom_site_fract_z
_atom_site_occupancy
Cu1 Cu 0.0000 0.0000 0.0000 1
Ru1 Ru 0.0000 0.5000 0.2700 1
Au1 Au 0.0000 0.0000 0.5129 1
Au2 Au 0.0000 0.5000 0.7420 1
```


A plane-wave DFT calculation with GGA-PBE was carried out for an optimized crystal structure of Cu2RuAu.

Calculated values
calculated total energy	-4.939	eV per atom
ΔH_f (0 K)	0.248	eV/atom
polymorph energy (0 for the lowest one)	0.048	eV per atom

Geometry as CIF:
```
data_Cu2RuAu
_symmetry_space_group_name_H-M 'R 3 m'
_symmetry_Int_Tables_number 160
_symmetry_space_group_name_Hall 'R 3 -2"'
_cell_length_a 2.7290
_cell_length_b 2.7290
_cell_length_c 26.5323
_cell_angle_alpha 90.00
_cell_angle_beta 90.00
_cell_angle_gamma 120.00
loop_
_atom_site_label
_atom_site_type_symbol
_atom_site_fract_x
_atom_site_fract_y
_atom_site_fract_z
_atom_site_occupancy
Cu1 Cu 0.0000 0.0000 0.0000 1
Cu2 Cu 0.0000 0.0000 0.2580 1
Ru1 Ru 0.0000 0.0000 0.5120 1
Au1 Au 0.0000 0.0000 0.7530 1
```


A plane-wave DFT calculation with GGA-PBE was carried out for an optimized crystal structure of CuRuAu2.

Calculated values
calculated total energy	-4.706	eV per atom
ΔH_f (0 K)	0.276	eV/atom
polymorph energy (0 for the lowest one)	0.043	eV per atom

Geometry as CIF:
```
data_CuRuAu2
_symmetry_space_group_name_H-M 'C 1 m 1'
_symmetry_Int_Tables_number 8
_cell_length_a 9.4154
_cell_length_b 2.7385
_cell_length_c 4.9468
_cell_angle_alpha 90.00
_cell_angle_beta 100.56
_cell_angle_gamma 90.00
loop_
_symmetry_equiv_pos_as_xyz
'x,y,z'
'x,-y,z'
'x+1/2,y+1/2,z'
'x+1/2,-y+1/2,z'
loop_
_atom_site_label
_atom_site_type_symbol
_atom_site_fract_x
_atom_site_fract_y
_atom_site_fract_z
_atom_site_occupancy
Cu1 Cu 0.0000 0.0000 0.0000 1
Ru1 Ru 0.2640 0.0000 0.7518 1
Au1 Au 0.0125 0.5000 0.5208 1
Au2 Au 0.2499 0.5000 0.2344 1
```


A plane-wave DFT calculation with GGA-PBE was carried out for an optimized crystal structure of CuRuAu2.

Calculated values
calculated total energy	-4.633	eV per atom
ΔH_f (0 K)	0.349	eV/atom
polymorph energy (0 for the lowest one)	0.116	eV per atom

Geometry as CIF:
```
data_CuRuAu2
_symmetry_space_group_name_H-M 'I -4 m 2'
_symmetry_Int_Tables_number 119
_symmetry_space_group_name_Hall 'I -4 -2'
_cell_length_a 4.0505
_cell_length_b 4.0505
_cell_length_c 7.7208
_cell_angle_alpha 90.00
_cell_angle_beta 90.00
_cell_angle_gamma 90.00
loop_
_atom_site_label
_atom_site_type_symbol
_atom_site_fract_x
_atom_site_fract_y
_atom_site_fract_z
_atom_site_occupancy
Cu1 Cu 0.0000 0.0000 0.0000 1
Ru1 Ru 0.0000 0.5000 0.7500 1
Au1 Au 0.0000 0.0000 0.5000 1
Au2 Au 0.0000 0.5000 0.2500 1
```